(1)
Density functional theory data (PBE-GGA) for Li3LaC4O12 after structural relaxation.

The raw formation energy comes out at -1.751 eV/atom. The total moment comes out at 2.01 μB per formula unit.

a b c (Å): 6.236 6.236 6.236
angles (deg): 102.18 102.18 102.18
Element x y z (fractional)
La  0.000  0.000  0.000
Li  0.553  0.447  0.000
Li  0.000  0.553  0.447
Li  0.447  0.000  0.553
O  0.632  0.500  0.368
O  0.500  0.080  0.920
O  0.958  0.192  0.374
O  0.192  0.374  0.958
O  0.368  0.632  0.500
O  0.042  0.626  0.808
O  0.500  0.368  0.632
O  0.626  0.808  0.042
O  0.080  0.920  0.500
O  0.808  0.042  0.626
O  0.920  0.500  0.080
O  0.374  0.958  0.192
C  0.052  0.500  0.948
C  0.500  0.948  0.052
C  0.948  0.052  0.500
C  0.500  0.500  0.500


(2)
Density functional theory data (PBE-GGA) for LiLa2OsC after structural relaxation.

The value obtained for the total energy is -0.4861 Ry/atom. The total moment comes out at 0.00 μB per formula unit.

a b c (Å): 5.349 5.349 3.939
angles (deg): 90.00 90.00 90.00
Element x y z (fractional)
Li  0.500  0.500  0.500
Os  0.000  0.000  0.500
La  0.000  0.500  0.000
La  0.500  0.000  0.000
C  0.000  0.000  0.000


(3)
Density functional theory data (PBE-GGA) for LiLaOs2C after structural relaxation.

The value obtained for the total energy is -0.5602 Ry/atom. The total moment comes out at 0.00 μB per formula unit.

a b c (Å): 4.169 4.169 4.466
angles (deg): 90.00 90.00 90.00
Element x y z (fractional)
Os  0.000  0.500  0.000
Os  0.500  0.000  0.000
C  0.000  0.000  0.000
La  0.500  0.500  0.500
Li  0.000  0.000  0.500


(4)
Density functional theory data (PBE-GGA) for LiLa2PdC after structural relaxation.

Its energy above the most stable polymorph in this dataset is 0.0 kJ/mol of formula units. The total moment comes out at 0.00 μB per formula unit.

a b c (Å): 5.172 5.172 4.117
angles (deg): 90.00 90.00 90.00
Element x y z (fractional)
La  0.000  0.500  0.000
La  0.500  0.000  0.000
C  0.000  0.000  0.000
Pd  0.500  0.500  0.500
Li  0.000  0.000  0.500